No. 1
Computed, not measured: a relaxed SmDyCI crystal at the PBE level of DFT.

Structure (CIF):
```
data_SmDyCI
_chemical_formula_sum 'Sm1 Dy1 C1 I1'
_cell_length_a 7.8486
_cell_length_b 7.8486
_cell_length_c 7.8486
_cell_angle_alpha 28.01
_cell_angle_beta 28.01
_cell_angle_gamma 28.01
_space_group_name_H-M_alt 'P 1'
_space_group_IT_number 1
loop_
_space_group_symop_operation_xyz
'x,y,z'
loop_
_atom_site_label
_atom_site_type_symbol
_atom_site_fract_x
_atom_site_fract_y
_atom_site_fract_z
_atom_site_occupancy
Sm1 Sm 0.0000 0.0000 0.0000 1
Dy1 Dy 0.2188 0.2188 0.2188 1
C1 C 0.6049 0.6049 0.6049 1
I1 I 0.7785 0.7785 0.7785 1
```

E ... -5.7543 eV per atom
Formation energy without anion corrections ... -2.9 eV per formula unit
SG ... R3m, No. 160

No. 2
Computed, not measured: a relaxed Na2ScGe2 crystal at the PBE level of DFT.

Structure (CIF):
```
data_Na2ScGe2
_chemical_formula_sum 'Na4 Sc2 Ge4'
_cell_length_a 7.1356
_cell_length_b 7.1356
_cell_length_c 4.7425
_cell_angle_alpha 90.00
_cell_angle_beta 90.00
_cell_angle_gamma 90.00
_space_group_name_H-M_alt 'P 1'
_space_group_IT_number 1
loop_
_space_group_symop_operation_xyz
'x,y,z'
loop_
_atom_site_label
_atom_site_type_symbol
_atom_site_fract_x
_atom_site_fract_y
_atom_site_fract_z
_atom_site_occupancy
Na1 Na 0.1705 0.3295 0.0000 1
Na2 Na 0.3295 0.8295 0.0000 1
Na3 Na 0.6705 0.1705 0.0000 1
Na4 Na 0.8295 0.6705 0.0000 1
Sc1 Sc 0.0000 0.0000 0.5000 1
Sc2 Sc 0.5000 0.5000 0.5000 1
Ge1 Ge 0.1227 0.6227 0.5000 1
Ge2 Ge 0.3773 0.1227 0.5000 1
Ge3 Ge 0.6227 0.8773 0.5000 1
Ge4 Ge 0.8773 0.3773 0.5000 1
```

E ... -3.7450 eV per atom
SG ... P4/mbm, No. 127
E_form ... -104 meV per atom

No. 3
Computed, not measured: a relaxed LaHf2Sc crystal at the PBE level of DFT.

Structure (CIF):
```
data_LaHf2Sc
_chemical_formula_sum 'La1 Hf2 Sc1'
_cell_length_a 11.5894
_cell_length_b 11.5894
_cell_length_c 11.5894
_cell_angle_alpha 15.80
_cell_angle_beta 15.80
_cell_angle_gamma 15.80
_space_group_name_H-M_alt 'P 1'
_space_group_IT_number 1
loop_
_space_group_symop_operation_xyz
'x,y,z'
loop_
_atom_site_label
_atom_site_type_symbol
_atom_site_fract_x
_atom_site_fract_y
_atom_site_fract_z
_atom_site_occupancy
La1 La 0.0000 0.0000 0.0000 1
Hf1 Hf 0.0920 0.0920 0.0920 1
Hf2 Hf 0.9080 0.9080 0.9080 1
Sc1 Sc 0.5000 0.5000 0.5000 1
```

E ... -7.5291 eV per atom
SG ... R-3m, No. 166
E_form ... 262 meV per atom

No. 4
Computed, not measured: a relaxed Ce3PuSn2 crystal at the PBE level of DFT.

Structure (CIF):
```
data_Ce3PuSn2
_chemical_formula_sum 'Ce3 Pu1 Sn2'
_cell_length_a 4.5297
_cell_length_b 4.5297
_cell_length_c 8.7600
_cell_angle_alpha 90.00
_cell_angle_beta 90.00
_cell_angle_gamma 90.00
_space_group_name_H-M_alt 'P 1'
_space_group_IT_number 1
loop_
_space_group_symop_operation_xyz
'x,y,z'
loop_
_atom_site_label
_atom_site_type_symbol
_atom_site_fract_x
_atom_site_fract_y
_atom_site_fract_z
_atom_site_occupancy
Ce1 Ce 0.0000 0.0000 0.0000 1
Ce2 Ce 0.0000 0.5000 0.6437 1
Ce3 Ce 0.5000 0.0000 0.3563 1
Pu1 Pu 0.5000 0.5000 0.0000 1
Sn1 Sn 0.0000 0.5000 0.2713 1
Sn2 Sn 0.5000 0.0000 0.7287 1
```

E ... -7.0979 eV per atom
SG ... P-4m2, No. 115
E_form ... -408 meV per atom

No. 5
Computed, not measured: a relaxed Eu2LuPt crystal at the PBE level of DFT.

Structure (CIF):
```
data_Eu2LuPt
_chemical_formula_sum 'Eu2 Lu1 Pt1'
_cell_length_a 10.0341
_cell_length_b 10.0341
_cell_length_c 10.0341
_cell_angle_alpha 22.46
_cell_angle_beta 22.46
_cell_angle_gamma 22.46
_space_group_name_H-M_alt 'P 1'
_space_group_IT_number 1
loop_
_space_group_symop_operation_xyz
'x,y,z'
loop_
_atom_site_label
_atom_site_type_symbol
_atom_site_fract_x
_atom_site_fract_y
_atom_site_fract_z
_atom_site_occupancy
Eu1 Eu 0.2289 0.2289 0.2289 1
Eu2 Eu 0.7711 0.7711 0.7711 1
Lu1 Lu 0.0000 0.0000 0.0000 1
Pt1 Pt 0.5000 0.5000 0.5000 1
```

E ... -8.0932 eV per atom
SG ... R-3m, No. 166
E_form ... -315 meV per atom

No. 6
Computed, not measured: a relaxed ScTi2TlB crystal at the PBE level of DFT.

Structure (CIF):
```
data_ScTi2TlB
_chemical_formula_sum 'Sc1 Ti2 Tl1 B1'
_cell_length_a 4.6453
_cell_length_b 4.6453
_cell_length_c 5.4000
_cell_angle_alpha 90.00
_cell_angle_beta 90.00
_cell_angle_gamma 90.00
_space_group_name_H-M_alt 'P 1'
_space_group_IT_number 1
loop_
_space_group_symop_operation_xyz
'x,y,z'
loop_
_atom_site_label
_atom_site_type_symbol
_atom_site_fract_x
_atom_site_fract_y
_atom_site_fract_z
_atom_site_occupancy
Sc1 Sc 0.0000 0.0000 0.0000 1
Ti1 Ti 0.0000 0.5000 0.0000 1
Ti2 Ti 0.5000 0.0000 0.0000 1
Tl1 Tl 0.0000 0.0000 0.5000 1
B1 B 0.5000 0.5000 0.5000 1
```

E ... -4.3381 eV per atom
SG ... P4/mmm, No. 123
E_form ... 1895 meV per atom

No. 7
Computed, not measured: a relaxed Sr3NpAl2O8 crystal at the PBE level of DFT.

Structure (CIF):
```
data_Sr3NpAl2O8
_chemical_formula_sum 'Sr3 Np1 Al2 O8'
_cell_length_a 5.8225
_cell_length_b 5.8225
_cell_length_c 7.2720
_cell_angle_alpha 90.00
_cell_angle_beta 90.00
_cell_angle_gamma 120.00
_space_group_name_H-M_alt 'P 1'
_space_group_IT_number 1
loop_
_space_group_symop_operation_xyz
'x,y,z'
loop_
_atom_site_label
_atom_site_type_symbol
_atom_site_fract_x
_atom_site_fract_y
_atom_site_fract_z
_atom_site_occupancy
Sr1 Sr 0.0000 0.0000 0.0000 1
Sr2 Sr 0.3333 0.6667 0.6638 1
Sr3 Sr 0.6667 0.3333 0.3362 1
Np1 Np 0.0000 0.0000 0.5000 1
Al1 Al 0.3333 0.6667 0.2057 1
Al2 Al 0.6667 0.3333 0.7943 1
O1 O 0.1729 0.3458 0.3131 1
O2 O 0.1729 0.8271 0.3131 1
O3 O 0.3333 0.6667 0.9708 1
O4 O 0.3458 0.1729 0.6869 1
O5 O 0.6542 0.8271 0.3131 1
O6 O 0.6667 0.3333 0.0292 1
O7 O 0.8271 0.1729 0.6869 1
O8 O 0.8271 0.6542 0.6869 1
```

E ... -7.5283 eV per atom
Formation energy without anion corrections ... -40.3 eV per formula unit
SG ... P-3m1, No. 164

No. 8
Computed, not measured: a relaxed La2SmSi crystal at the PBE level of DFT.

Structure (CIF):
```
data_La2SmSi
_chemical_formula_sum 'La2 Sm1 Si1'
_cell_length_a 9.7477
_cell_length_b 9.7477
_cell_length_c 9.7477
_cell_angle_alpha 24.25
_cell_angle_beta 24.25
_cell_angle_gamma 24.25
_space_group_name_H-M_alt 'P 1'
_space_group_IT_number 1
loop_
_space_group_symop_operation_xyz
'x,y,z'
loop_
_atom_site_label
_atom_site_type_symbol
_atom_site_fract_x
_atom_site_fract_y
_atom_site_fract_z
_atom_site_occupancy
La1 La 0.0000 0.0000 0.0000 1
La2 La 0.2076 0.2076 0.2076 1
Sm1 Sm 0.4382 0.4382 0.4382 1
Si1 Si 0.6032 0.6032 0.6032 1
```

E ... -5.1345 eV per atom
Formation energy without anion corrections ... -0.5 eV per formula unit
SG ... R3m, No. 160

No. 9
Computed, not measured: a relaxed MgMo2Pb crystal at the PBE level of DFT.

Structure (CIF):
```
data_MgMo2Pb
_chemical_formula_sum 'Mg1 Mo2 Pb1'
_cell_length_a 5.4553
_cell_length_b 5.4553
_cell_length_c 5.4553
_cell_angle_alpha 142.73
_cell_angle_beta 128.11
_cell_angle_gamma 65.61
_space_group_name_H-M_alt 'P 1'
_space_group_IT_number 1
loop_
_space_group_symop_operation_xyz
'x,y,z'
loop_
_atom_site_label
_atom_site_type_symbol
_atom_site_fract_x
_atom_site_fract_y
_atom_site_fract_z
_atom_site_occupancy
Mg1 Mg 0.0000 0.0000 0.0000 1
Mo1 Mo 0.2635 0.7635 0.5000 1
Mo2 Mo 0.4627 0.4627 0.0000 1
Pb1 Pb 0.7291 0.2291 0.5000 1
```

E ... -6.2898 eV per atom
SG ... Imm2, No. 44
E_form ... 451 meV per atom

No. 10
Computed, not measured: a relaxed Li3Np2TcN6 crystal at the PBE level of DFT.

Structure (CIF):
```
data_Li3Np2TcN6
_chemical_formula_sum 'Li3 Np2 Tc1 N6'
_cell_length_a 5.5802
_cell_length_b 5.5802
_cell_length_c 5.4168
_cell_angle_alpha 99.18
_cell_angle_beta 99.18
_cell_angle_gamma 120.46
_space_group_name_H-M_alt 'P 1'
_space_group_IT_number 1
loop_
_space_group_symop_operation_xyz
'x,y,z'
loop_
_atom_site_label
_atom_site_type_symbol
_atom_site_fract_x
_atom_site_fract_y
_atom_site_fract_z
_atom_site_occupancy
Li1 Li 0.0000 0.0000 0.0000 1
Li2 Li 0.3532 0.6468 0.0000 1
Li3 Li 0.6468 0.3532 0.0000 1
Np1 Np 0.1666 0.8334 0.5000 1
Np2 Np 0.8334 0.1666 0.5000 1
Tc1 Tc 0.5000 0.5000 0.5000 1
N1 N 0.0958 0.4284 0.2827 1
N2 N 0.2353 0.2353 0.7220 1
N3 N 0.4284 0.0958 0.2827 1
N4 N 0.5716 0.9042 0.7173 1
N5 N 0.7647 0.7647 0.2780 1
N6 N 0.9042 0.5716 0.7173 1
```

E ... -8.3670 eV per atom
Formation energy without anion corrections ... -8.5 eV per formula unit
SG ... C2/m, No. 12